1.
Entry from OQMD via LeMat-Bulk: crystalline LiHoO2 at its relaxed geometry (PBE).

## Properties
Electronic total energy in eV per atom: -7.0596

a = 11.087 Å, b = 3.343 Å, c = 5.260 Å
α = 90.00°, β = 90.00°, γ = 90.00°
Space group Pnma (No. 62)
Asymmetric unit:
Li: 0.067 0.250 0.099 x4
Ho: 0.140 0.750 0.549 x4
O: 0.025 0.250 0.742 x4
O: 0.208 0.250 0.313 x4

2.
Entry from OQMD via LeMat-Bulk: crystalline Li8Ho4O11 at its relaxed geometry (PBE).

## Properties
Electronic total energy in eV per atom: -6.1781
E above lowest polymorph in meV/atom: 2

a = 5.225 Å, b = 5.512 Å, c = 9.569 Å
α = 84.67°, β = 79.10°, γ = 77.53°
Space group P1 (No. 1)
Asymmetric unit:
Li: 0.000 0.000 0.000 x1
Li: 0.001 0.790 0.519 x1
Li: 0.326 0.575 0.739 x1
Li: 0.385 0.335 0.035 x1
Li: 0.515 0.045 0.560 x1
Li: 0.576 0.585 0.475 x1
Li: 0.739 0.044 0.256 x1
Li: 0.858 0.529 0.151 x1
Ho: 0.166 0.299 0.366 x1
Ho: 0.323 0.796 0.201 x1
Ho: 0.606 0.870 0.861 x1
Ho: 0.898 0.306 0.697 x1
O: 0.053 0.920 0.795 x1
O: 0.083 0.178 0.155 x1
O: 0.245 0.429 0.567 x1
O: 0.276 0.699 0.985 x1
O: 0.405 0.923 0.398 x1
O: 0.508 0.257 0.832 x1
O: 0.521 0.402 0.221 x1
O: 0.670 0.690 0.659 x1
O: 0.694 0.872 0.077 x1
O: 0.834 0.171 0.512 x1
O: 0.947 0.678 0.324 x1

3.
Entry from OQMD via LeMat-Bulk: crystalline Li4HoOsO6 at its relaxed geometry (PBE).

## Properties
Electronic total energy in eV per atom: -6.4601

a = 5.308 Å, b = 9.250 Å, c = 5.208 Å
α = 90.00°, β = 109.27°, γ = 90.00°
Space group C2 (No. 5)
Asymmetric unit:
Li: 0.000 0.000 0.000 x2
Li: 0.000 0.149 0.500 x2
Li: 0.000 0.315 0.000 x2
Li: 0.000 0.626 0.000 x2
Ho: 0.000 0.815 0.500 x2
Os: 0.000 0.482 0.500 x2
O: 0.224 0.330 0.741 x4
O: 0.231 0.486 0.266 x4
O: 0.235 0.634 0.742 x4

4.
Entry from OQMD via LeMat-Bulk: crystalline LiHoPO at its relaxed geometry (PBE).

## Properties
Electronic total energy in eV per atom: -5.9520
E above lowest polymorph in meV/atom: 66

a = 3.842 Å, b = 6.277 Å, c = 5.455 Å
α = 90.00°, β = 90.00°, γ = 90.00°
Space group Pmc2_1 (No. 26)
Asymmetric unit:
Li: 0.000 0.168 0.000 x2
Ho: 0.500 0.244 0.551 x2
P: 0.000 0.486 0.276 x2
O: 0.500 0.066 0.889 x2

5.
Entry from OQMD via LeMat-Bulk: crystalline LiHoPO at its relaxed geometry (PBE).

## Properties
Electronic total energy in eV per atom: -6.0177
E above lowest polymorph in meV/atom: 0

a = 3.733 Å, b = 3.733 Å, c = 9.388 Å
α = 90.00°, β = 90.00°, γ = 90.00°
Space group P4/nmm (No. 129, origin choice 2)
Asymmetric unit:
Li: 0.250 0.750 0.000 x2
Ho: 0.250 0.250 0.376 x2
P: 0.250 0.250 0.816 x2
O: 0.250 0.750 0.500 x2

6.
Entry from OQMD via LeMat-Bulk: crystalline LiHoPO at its relaxed geometry (PBE).

## Properties
Electronic total energy in eV per atom: -5.9162
E above lowest polymorph in meV/atom: 102

a = 3.455 Å, b = 7.500 Å, c = 5.644 Å
α = 90.00°, β = 90.00°, γ = 90.00°
Space group Pmc2_1 (No. 26)
Asymmetric unit:
Li: 0.000 0.080 0.000 x2
Ho: 0.500 0.301 0.375 x2
P: 0.500 0.327 0.870 x2
O: 0.000 0.143 0.339 x2

7.
Entry from OQMD via LeMat-Bulk: crystalline LiHoPO at its relaxed geometry (PBE).

## Properties
Electronic total energy in eV per atom: -5.6098
E above lowest polymorph in meV/atom: 408

a = 3.913 Å, b = 3.913 Å, c = 4.536 Å
α = 90.00°, β = 90.00°, γ = 90.00°
Space group P4/mmm (No. 123)
Asymmetric unit:
Li: 0.000 0.000 0.000 x1
Ho: 0.500 0.500 0.500 x1
P: 0.000 0.000 0.500 x1
O: 0.500 0.500 0.000 x1

8.
Entry from OQMD via LeMat-Bulk: crystalline Li4HoPaO6 at its relaxed geometry (PBE).

## Properties
Electronic total energy in eV per atom: -6.8108

a = 5.615 Å, b = 9.748 Å, c = 5.294 Å
α = 90.00°, β = 110.15°, γ = 90.00°
Space group C2 (No. 5)
Asymmetric unit:
Li: 0.000 0.000 0.000 x2
Li: 0.000 0.137 0.500 x2
Li: 0.000 0.511 0.500 x2
Li: 0.000 0.857 0.500 x2
Ho: 0.000 0.669 0.000 x2
Pa: 0.000 0.333 0.000 x2
O: 0.241 0.499 0.250 x4
O: 0.245 0.171 0.244 x4
O: 0.250 0.335 0.764 x4

9.
Entry from OQMD via LeMat-Bulk: crystalline LiHoSO at its relaxed geometry (PBE).

## Properties
Electronic total energy in eV per atom: -6.0755
E above lowest polymorph in meV/atom: 271

a = 3.963 Å, b = 6.456 Å, c = 6.106 Å
α = 90.00°, β = 90.00°, γ = 90.00°
Space group Pmc2_1 (No. 26)
Asymmetric unit:
Li: 0.000 0.210 0.000 x2
Ho: 0.500 0.345 0.434 x2
S: 0.000 0.154 0.612 x2
O: 0.500 0.362 0.086 x2

10.
Entry from OQMD via LeMat-Bulk: crystalline LiHoSO at its relaxed geometry (PBE).

## Properties
Electronic total energy in eV per atom: -6.2950
E above lowest polymorph in meV/atom: 51

a = 6.084 Å, b = 7.140 Å, c = 6.288 Å
α = 90.00°, β = 100.16°, γ = 90.00°
Space group P2_1/c (No. 14)
Asymmetric unit:
Li: 0.081 0.232 0.418 x4
Ho: 0.463 0.619 0.267 x4
S: 0.193 0.598 0.852 x4
O: 0.370 0.157 0.896 x4

11.
Entry from OQMD via LeMat-Bulk: crystalline LiHoSO at its relaxed geometry (PBE).

## Properties
Electronic total energy in eV per atom: -6.3464
E above lowest polymorph in meV/atom: 0

a = 3.808 Å, b = 3.808 Å, c = 8.492 Å
α = 90.00°, β = 90.00°, γ = 90.00°
Space group P4/nmm (No. 129, origin choice 2)
Asymmetric unit:
Li: 0.250 0.750 0.000 x2
Ho: 0.250 0.250 0.368 x2
S: 0.250 0.250 0.826 x2
O: 0.250 0.750 0.500 x2

12.
Entry from OQMD via LeMat-Bulk: crystalline LiHoSO at its relaxed geometry (PBE).

## Properties
Electronic total energy in eV per atom: -6.2633
E above lowest polymorph in meV/atom: 83

a = 5.492 Å, b = 5.464 Å, c = 9.847 Å
α = 90.00°, β = 105.73°, γ = 90.00°
Space group P2_1 (No. 4)
Asymmetric unit:
Li: 0.017 0.000 0.081 x2
Li: 0.469 0.663 0.072 x2
Ho: 0.054 0.261 0.615 x2
Ho: 0.447 0.262 0.384 x2
S: 0.123 0.558 0.169 x2
S: 0.369 0.550 0.829 x2
O: 0.250 0.010 0.499 x2
O: 0.251 0.508 0.500 x2